Below is a relaxed LiCeMg crystal, with properties calculated at the PBE level.

a = 3.0833 Å, b = 3.0833 Å, c = 8.5117 Å
α = 90.00°, β = 90.00°, γ = 120.00°
Space group P3m1 (No. 156)
One atom of each set of equivalent atoms:
Li1 0.0000 0.0000 0.0000 (multiplicity 1)
Ce1 0.6667 0.3333 0.3507 (multiplicity 1)
Mg1 0.3333 0.6667 0.6962 (multiplicity 1)

Results
Spin magnetization in μB per atom: 0.000
Polymorph energy (0 for the lowest one) in meV/atom: 55
DOS at the Fermi energy in states/eV per atom: 1.5759
Formation energy in eV per atom: 0.06